(1)
VASP calculation (PBE-GGA) on crystalline LuBeReMo at its relaxed geometry.

## Properties
SG	F-43m (216)
calculated volume	15.58	A^3/atom
uncorrected energy	-7.21	eV per atom
energy above the most stable polymorph in this dataset	2.24	eV/f.u.

Cell lengths 4.450, 4.450, 4.450 Å; angles 60.00, 60.00, 60.00 degrees
Fractional coordinates of all 4 atoms:
Lu  0.000  0.000  0.000
Be  0.500  0.500  0.500
Re  0.750  0.750  0.750
Mo  0.250  0.250  0.250


(2)
VASP calculation (PBE-GGA) on crystalline LiNbSO at its relaxed geometry.

## Properties
SG	P6_3mc (186)
calculated volume	12.76	A^3/atom
uncorrected energy	-6.94	eV per atom
energy above the most stable polymorph in this dataset	0.00	eV/f.u.

Cell lengths 3.114, 3.114, 12.153 Å; angles 90.00, 90.00, 120.00 degrees
Fractional coordinates of all 8 atoms:
Li  0.000  0.000  0.000
Li  0.000  0.000  0.500
Nb  0.000  0.000  0.281
Nb  0.000  0.000  0.781
S  0.333  0.667  0.145
S  0.667  0.333  0.645
O  0.333  0.667  0.390
O  0.667  0.333  0.890


(3)
VASP calculation (PBE-GGA) on crystalline CuReNiPb at its relaxed geometry.

## Properties
SG	F-43m (216)
calculated volume	15.71	A^3/atom
uncorrected energy	-5.57	eV per atom

Cell lengths 4.462, 4.462, 4.462 Å; angles 60.00, 60.00, 60.00 degrees
Fractional coordinates of all 4 atoms:
Cu  0.000  0.000  0.000
Re  0.500  0.500  0.500
Ni  0.250  0.250  0.250
Pb  0.750  0.750  0.750